[1]
# LiUBi2 (GGA-PBE, optimized geometry)
data_LiUBi2
_chemical_formula_sum 'Li4 U4 Bi8'
_space_group_name_H-M_alt 'F m -3 m'
_space_group_IT_number 225
_space_group_name_Hall '-F 4 2 3'
_cell_length_a 7.5785
_cell_length_b 7.5785
_cell_length_c 7.5785
_cell_angle_alpha 90.00
_cell_angle_beta 90.00
_cell_angle_gamma 90.00
loop_
_atom_site_label
_atom_site_type_symbol
_atom_site_fract_x
_atom_site_fract_y
_atom_site_fract_z
Li1 Li 0.0000 0.0000 0.0000
U1 U 0.0000 0.0000 0.5000
Bi1 Bi 0.2500 0.2500 0.2500
# density = 10116 kg/m³
# energy of formation = 11 meV/atom
# crystal system = cubic
# energy relative to the lowest polymorph listed for this composition = 117 meV per atom
# DOS(E_F) = 9.631 states/eV/f.u.


[2]
# LiUBi2 (GGA-PBE, optimized geometry)
data_LiUBi2
_chemical_formula_sum 'Li1 U1 Bi2'
_space_group_name_H-M_alt 'P 4/m m m'
_space_group_IT_number 123
_space_group_name_Hall '-P 4 2'
_cell_length_a 3.4093
_cell_length_b 3.4093
_cell_length_c 9.1617
_cell_angle_alpha 90.00
_cell_angle_beta 90.00
_cell_angle_gamma 90.00
loop_
_atom_site_label
_atom_site_type_symbol
_atom_site_fract_x
_atom_site_fract_y
_atom_site_fract_z
Li1 Li 0.0000 0.0000 0.0000
U1 U 0.0000 0.0000 0.5000
Bi1 Bi 0.5000 0.5000 0.2350
# density = 10337 kg/m³
# energy of formation = -97 meV/atom
# crystal system = tetragonal
# energy relative to the lowest polymorph listed for this composition = 9 meV per atom
# DOS(E_F) = 6.293 states/eV/f.u.


[3]
# LiUBi2 (GGA-PBE, optimized geometry)
data_LiUBi2
_chemical_formula_sum 'Li3 U3 Bi6'
_space_group_name_H-M_alt 'R 3 m'
_space_group_IT_number 160
_space_group_name_Hall 'R 3 -2"'
_cell_length_a 3.4137
_cell_length_b 3.4137
_cell_length_c 30.5683
_cell_angle_alpha 90.00
_cell_angle_beta 90.00
_cell_angle_gamma 120.00
loop_
_atom_site_label
_atom_site_type_symbol
_atom_site_fract_x
_atom_site_fract_y
_atom_site_fract_z
Li1 Li 0.0000 0.0000 0.0000
U1 U 0.0000 0.0000 0.8344
Bi1 Bi 0.0000 0.0000 0.4107
Bi2 Bi 0.0000 0.0000 0.5909
# density = 10705 kg/m³
# energy of formation = -39 meV/atom
# crystal system = trigonal
# energy relative to the lowest polymorph listed for this composition = 66 meV per atom
# DOS(E_F) = 6.064 states/eV/f.u.